Material: KSiNiF6
Method: DFT, PBE+U
State: relaxed

a = 5.450 Å, b = 5.450 Å, c = 10.712 Å
α = 90.00°, β = 90.00°, γ = 120.00°
Site moments in Bohr magnetons follow the coordinates.
Positions (direct):
K (0.000, 0.000, 0.000)  0.00
K (0.000, 0.000, 0.500)  0.00
Si (0.667, 0.333, 0.250)  0.00
Si (0.333, 0.667, 0.750)  0.00
Ni (0.333, 0.667, 0.250)  1.14
Ni (0.667, 0.333, 0.750)  1.14
F (0.658, 0.588, 0.158)  0.01
F (0.930, 0.342, 0.158)  0.01
F (0.342, 0.930, 0.658)  0.01
F (0.070, 0.658, 0.842)  0.01
F (0.412, 0.342, 0.342)  0.01
F (0.930, 0.588, 0.342)  0.01
F (0.588, 0.930, 0.842)  0.01
F (0.658, 0.070, 0.342)  0.01
F (0.070, 0.412, 0.658)  0.01
F (0.412, 0.070, 0.158)  0.01
F (0.588, 0.658, 0.658)  0.01
F (0.342, 0.412, 0.842)  0.01

Values from the calculation:
total magnetization: 2.34 μB/cell
SG: No. 163
calculated total energy: -4.7895 eV/atom
density: 2891 kg/m³